Entry 1:
Entry from Alexandria: a relaxed structure of Ta2TiIr2 (PBE-GGA).

Results
* SG: P4/mbm, No. 127
* DOS(E_F): 13.8 states/eV/cell
* excess energy over the best structure of this formula in the dataset: 0.00 eV/f.u.
* energy relative to the elements: -0.407 eV per atom

Unit cell a=7.5706 b=7.5706 c=3.0056 alpha=90.00 beta=90.00 gamma=90.00
With the nearest neighbours (Å) after each atom.
Fractional coordinates of all 10 atoms:
1 Ta 0.1671 0.6671 0.5000  6 Ir 2.62-2.73
2 Ta 0.3329 0.1671 0.5000  6 Ir 2.62-2.73
3 Ir 0.8677 0.6323 0.0000  6 Ta 2.62-2.73, 1 Ir 2.83
4 Ir 0.6323 0.1323 0.0000  6 Ta 2.62-2.73, 1 Ir 2.83
5 Ti 0.5000 0.5000 0.0000  4 Ir 2.96, 2 Ti 3.01, 8 Ta 3.20
6 Ta 0.8329 0.3329 0.5000  6 Ir 2.62-2.73
7 Ir 0.3677 0.8677 0.0000  6 Ta 2.62-2.73, 1 Ir 2.83
8 Ir 0.1323 0.3677 0.0000  6 Ta 2.62-2.73, 1 Ir 2.83
9 Ta 0.6671 0.8329 0.5000  6 Ir 2.62-2.73
10 Ti 0.0000 0.0000 0.0000  4 Ir 2.96, 2 Ti 3.01, 8 Ta 3.20



Entry 2:
Entry from Alexandria: a relaxed structure of TaTi2Ir (PBE-GGA).

Results
* SG: P4/mmm, No. 123
* DOS(E_F): 4.4 states/eV/cell
* energy relative to the elements: -0.462 eV per atom

Unit cell a=3.0733 b=4.5582 c=4.5582 alpha=90.00 beta=90.00 gamma=90.00
With the nearest neighbours (Å) after each atom.
Fractional coordinates of all 4 atoms:
1 Ta 0.5000 0.0000 0.0000  8 Ti 2.75, 2 Ta 3.07
2 Ir 0.5000 0.5000 0.5000  8 Ti 2.75, 2 Ir 3.07
3 Ti 0.0000 0.0000 0.5000  4 Ta 2.75, 4 Ir 2.75, 2 Ti 3.07
4 Ti 0.0000 0.5000 0.0000  4 Ta 2.75, 4 Ir 2.75, 2 Ti 3.07



Entry 3:
Entry from Alexandria: a relaxed structure of Ta2TiIr9 (PBE-GGA).

Results
* SG: P4/mmm, No. 123
* DOS(E_F): 5.4 states/eV/cell
* energy relative to the elements: -0.702 eV per atom

Unit cell a=3.9103 b=3.9103 c=11.7156 alpha=90.00 beta=90.00 gamma=90.00
With the nearest neighbours (Å) after each atom.
Fractional coordinates of all 12 atoms:
1 Ir 0.0000 0.5000 0.5000  8 Ir 2.76-2.77, 4 Ta 2.79
2 Ir 0.5000 0.5000 0.0000  8 Ir 2.75, 4 Ti 2.76
3 Ta 0.0000 0.0000 0.6697  12 Ir 2.75-2.79
4 Ir 0.0000 0.5000 0.1651  8 Ir 2.75-2.77, 2 Ti 2.75, 2 Ta 2.75
5 Ir 0.5000 0.0000 0.5000  8 Ir 2.76-2.77, 4 Ta 2.79
6 Ir 0.5000 0.5000 0.3330  4 Ta 2.77, 8 Ir 2.77
7 Ir 0.5000 0.5000 0.6670  4 Ta 2.77, 8 Ir 2.77
8 Ir 0.5000 0.0000 0.1651  8 Ir 2.75-2.77, 2 Ti 2.75, 2 Ta 2.75
9 Ti 0.0000 0.0000 0.0000  12 Ir 2.75-2.76
10 Ir 0.0000 0.5000 0.8349  2 Ti 2.75, 8 Ir 2.75-2.77, 2 Ta 2.75
11 Ta 0.0000 0.0000 0.3303  12 Ir 2.75-2.79
12 Ir 0.5000 0.0000 0.8349  8 Ir 2.75-2.77, 2 Ti 2.75, 2 Ta 2.75



Entry 4:
Entry from Alexandria: a relaxed structure of TaTi2Ir (PBE-GGA).

Results
* SG: I-42d, No. 122
* DOS(E_F): 8.6 states/eV/cell
* energy relative to the elements: 0.020 eV per atom

Unit cell a=7.2147 b=7.2147 c=5.7768 alpha=51.36 beta=51.36 gamma=90.00
With the nearest neighbours (Å) after each atom.
Fractional coordinates of all 8 atoms:
1 Ti 0.3750 0.3441 0.7500  2 Ir 2.49, 2 Ti 2.75
2 Ta 0.5000 0.5000 0.0000  2 Ir 2.71, 4 Ti 2.80
3 Ti 0.8750 0.9059 0.7500  2 Ir 2.49, 2 Ti 2.75
4 Ti 0.0941 0.6250 0.2500  2 Ir 2.49, 2 Ti 2.75
5 Ti 0.6559 0.1250 0.2500  2 Ir 2.49, 2 Ti 2.75
6 Ir 0.0000 0.0000 0.0000  4 Ti 2.49, 2 Ta 2.71
7 Ta 0.2500 0.7500 0.5000  2 Ir 2.71, 4 Ti 2.80
8 Ir 0.7500 0.2500 0.5000  4 Ti 2.49, 2 Ta 2.71



Entry 5:
Entry from Alexandria: a relaxed structure of TaTi3Ir (PBE-GGA).

Results
* SG: Pm-3m, No. 221
* DOS(E_F): 9.8 states/eV/cell
* excess energy over the best structure of this formula in the dataset: 4.80 eV/f.u.
* energy relative to the elements: 0.600 eV per atom

Unit cell a=4.6890 b=4.6890 c=4.6890 alpha=90.00 beta=90.00 gamma=90.00
With the nearest neighbours (Å) after each atom.
Fractional coordinates of all 5 atoms:
1 Ir 0.0000 0.0000 0.0000  6 Ti 2.34
2 Ti 0.0000 0.5000 0.0000  2 Ir 2.34
3 Ta 0.5000 0.5000 0.5000  12 Ti 3.32
4 Ti 0.0000 0.0000 0.5000  2 Ir 2.34
5 Ti 0.5000 0.0000 0.0000  2 Ir 2.34



Entry 6:
Entry from Alexandria: a relaxed structure of TaTi5Ir6 (PBE-GGA).

Results
* SG: Immm, No. 71
* DOS(E_F): 9.2 states/eV/cell
* energy relative to the elements: -0.833 eV per atom

Unit cell a=4.2095 b=7.0645 c=7.3918 alpha=118.55 beta=106.54 gamma=90.00
With the nearest neighbours (Å) after each atom.
Fractional coordinates of all 12 atoms:
1 Ir 0.5000 0.2824 0.0000  6 Ti 2.61-2.74, 2 Ta 2.90
2 Ir 0.1677 0.4373 0.3354  7 Ti 2.63-2.85, 1 Ta 2.81, 2 Ir 2.93
3 Ti 0.6843 0.6843 0.3686  8 Ir 2.63-2.74, 2 Ti 2.95
4 Ti 0.6476 0.1476 0.2953  8 Ir 2.70-2.85, 2 Ta 2.78, 2 Ti 2.95
5 Ti 0.3157 0.3157 0.6314  8 Ir 2.63-2.74, 2 Ti 2.95
6 Ir 0.8323 0.1020 0.6646  7 Ti 2.63-2.85, 1 Ta 2.81, 2 Ir 2.93
7 Ir 0.8323 0.5627 0.6646  7 Ti 2.63-2.85, 1 Ta 2.81, 2 Ir 2.93
8 Ta 0.0000 0.0000 0.0000  4 Ti 2.78, 8 Ir 2.81-2.90
9 Ir 0.1677 0.8980 0.3354  7 Ti 2.63-2.85, 1 Ta 2.81, 2 Ir 2.93
10 Ir 0.5000 0.7176 0.0000  6 Ti 2.61-2.74, 2 Ta 2.90
11 Ti 0.0000 0.5000 0.0000  8 Ir 2.61-2.63
12 Ti 0.3524 0.8524 0.7047  8 Ir 2.70-2.85, 2 Ta 2.78, 2 Ti 2.95



Entry 7:
Entry from Alexandria: a relaxed structure of Ta4TiIr5 (PBE-GGA).

Results
* SG: P4/mmm, No. 123
* DOS(E_F): 6.9 states/eV/cell
* energy relative to the elements: -0.647 eV per atom

Unit cell a=2.9074 b=2.9074 c=18.8077 alpha=90.00 beta=90.00 gamma=90.00
With the nearest neighbours (Å) after each atom.
Fractional coordinates of all 10 atoms:
1 Ir 0.5000 0.5000 0.7038  8 Ta 2.81, 4 Ir 2.91
2 Ir 0.5000 0.5000 0.5000  8 Ta 2.81, 4 Ir 2.91
3 Ta 0.0000 0.0000 0.6018  8 Ir 2.81, 4 Ta 2.91
4 Ir 0.5000 0.5000 0.0908  4 Ti 2.67, 4 Ta 2.83, 4 Ir 2.91
5 Ti 0.0000 0.0000 0.0000  8 Ir 2.67, 4 Ti 2.91
6 Ta 0.0000 0.0000 0.1945  8 Ir 2.81-2.83, 4 Ta 2.91
7 Ta 0.0000 0.0000 0.3982  8 Ir 2.81, 4 Ta 2.91
8 Ir 0.5000 0.5000 0.2962  8 Ta 2.81, 4 Ir 2.91
9 Ir 0.5000 0.5000 0.9092  4 Ti 2.67, 4 Ta 2.83, 4 Ir 2.91
10 Ta 0.0000 0.0000 0.8055  8 Ir 2.81-2.83, 4 Ta 2.91



Entry 8:
Entry from Alexandria: a relaxed structure of TaTi4Ir (PBE-GGA).

Results
* SG: C2/m, No. 12
* DOS(E_F): 7.8 states/eV/cell
* excess energy over the best structure of this formula in the dataset: 0.00 eV/f.u.
* energy relative to the elements: -0.361 eV per atom

Unit cell a=4.4833 b=5.2991 c=5.3412 alpha=63.01 beta=65.18 gamma=64.97
With the nearest neighbours (Å) after each atom.
Fractional coordinates of all 6 atoms:
1 Ti 0.6591 0.9993 0.6825  2 Ir 2.72, 5 Ti 2.74-2.88, 1 Ta 2.82
2 Ta 0.0000 0.5000 0.5000  2 Ir 2.78, 6 Ti 2.79-2.82
3 Ti 0.6814 0.4681 0.1691  1 Ir 2.64, 5 Ti 2.73-2.88, 2 Ta 2.79
4 Ir 0.0000 0.0000 0.0000  6 Ti 2.64-2.72, 2 Ta 2.78
5 Ti 0.3409 0.0007 0.3175  2 Ir 2.72, 5 Ti 2.74-2.88, 1 Ta 2.82
6 Ti 0.3186 0.5319 0.8309  1 Ir 2.64, 5 Ti 2.73-2.88, 2 Ta 2.79



Entry 9:
Entry from Alexandria: a relaxed structure of TaTi2Ir2 (PBE-GGA).

Results
* SG: P4/mbm, No. 127
* DOS(E_F): 7.2 states/eV/cell
* excess energy over the best structure of this formula in the dataset: 0.21 eV/f.u.
* energy relative to the elements: -0.489 eV per atom

Unit cell a=7.4811 b=7.4811 c=2.8672 alpha=90.00 beta=90.00 gamma=90.00
With the nearest neighbours (Å) after each atom.
Fractional coordinates of all 10 atoms:
1 Ta 0.5000 0.5000 0.0000  4 Ti 2.86, 2 Ta 2.87, 8 Ir 3.18
2 Ir 0.1536 0.6536 0.5000  6 Ti 2.55-2.67
3 Ti 0.6473 0.1473 0.0000  6 Ir 2.55-2.67
4 Ir 0.8464 0.3464 0.5000  6 Ti 2.55-2.67
5 Ta 0.0000 0.0000 0.0000  4 Ti 2.86, 2 Ta 2.87, 8 Ir 3.18
6 Ti 0.1473 0.3527 0.0000  6 Ir 2.55-2.67
7 Ir 0.3464 0.1536 0.5000  6 Ti 2.55-2.67
8 Ti 0.3527 0.8527 0.0000  6 Ir 2.55-2.67
9 Ir 0.6536 0.8464 0.5000  6 Ti 2.55-2.67
10 Ti 0.8527 0.6473 0.0000  6 Ir 2.55-2.67



Entry 10:
Entry from Alexandria: a relaxed structure of TaTiIr (PBE-GGA).

Results
* SG: Cm, No. 8
* DOS(E_F): 3.9 states/eV/cell
* energy relative to the elements: -0.539 eV per atom

Unit cell a=3.0516 b=6.6143 c=5.3432 alpha=107.99 beta=73.42 gamma=90.05
With the nearest neighbours (Å) after each atom.
Fractional coordinates of all 6 atoms:
1 Ir 0.4201 0.1923 0.9095  4 Ti 2.72-2.80, 4 Ta 2.72-2.82
2 Ti 0.0768 0.8448 0.5973  4 Ir 2.79-2.80, 4 Ti 2.81-3.05, 3 Ta 2.87-3.03
3 Ir 0.4198 0.6548 0.9110  4 Ti 2.67-2.79, 4 Ta 2.73-2.77
4 Ta 0.7635 0.9955 0.2225  4 Ir 2.76-2.82, 4 Ta 2.83-3.05, 3 Ti 2.87-3.03
5 Ta 0.0908 0.3378 0.5681  4 Ir 2.72-2.73, 2 Ti 2.77, 2 Ta 2.83
6 Ti 0.7539 0.5120 0.2418  4 Ir 2.67-2.72, 2 Ta 2.77, 2 Ti 2.81



Entry 11:
Entry from Alexandria: a relaxed structure of TaTi4Ir (PBE-GGA).

Results
* SG: R-3m, No. 166
* DOS(E_F): 7.2 states/eV/cell
* excess energy over the best structure of this formula in the dataset: 3.31 eV/f.u.
* energy relative to the elements: 0.190 eV per atom

Unit cell a=4.3181 b=4.3171 c=7.5884 alpha=73.44 beta=73.47 gamma=59.99
With the nearest neighbours (Å) after each atom.
Fractional coordinates of all 6 atoms:
1 Ti 0.8774 0.8774 0.3677  1 Ir 2.63, 3 Ta 2.67
2 Ir 0.0000 0.0000 0.0000  8 Ti 2.63-2.64
3 Ta 0.5000 0.5000 0.5000  8 Ti 2.67-2.71
4 Ti 0.6261 0.6261 0.1217  3 Ir 2.64, 1 Ta 2.71
5 Ti 0.1226 0.1226 0.6323  1 Ir 2.63, 3 Ta 2.67
6 Ti 0.3739 0.3739 0.8783  3 Ir 2.64, 1 Ta 2.71



Entry 12:
Entry from Alexandria: a relaxed structure of TaTi3Ir (PBE-GGA).

Results
* SG: Pm-3m, No. 221
* DOS(E_F): 18.8 states/eV/cell
* excess energy over the best structure of this formula in the dataset: 0.00 eV/f.u.
* energy relative to the elements: -0.359 eV per atom

Unit cell a=6.3183 b=6.3183 c=6.3183 alpha=90.00 beta=90.00 gamma=90.00
With the nearest neighbours (Å) after each atom.
Fractional coordinates of all 15 atoms:
1 Ti 0.2395 0.7605 0.7605  3 Ir 2.70, 3 Ta 2.78, 1 Ti 2.85
2 Ti 0.7605 0.7605 0.2395  3 Ir 2.70, 3 Ta 2.78, 1 Ti 2.85
3 Ta 0.0000 0.5000 0.5000  8 Ti 2.78
4 Ta 0.5000 0.0000 0.5000  8 Ti 2.78
5 Ti 0.7605 0.7605 0.7605  3 Ir 2.70, 3 Ta 2.78, 1 Ti 2.85
6 Ti 0.2395 0.2395 0.2395  3 Ir 2.70, 3 Ta 2.78, 1 Ti 2.85
7 Ti 0.7605 0.2395 0.2395  3 Ir 2.70, 3 Ta 2.78, 1 Ti 2.85
8 Ta 0.5000 0.5000 0.0000  8 Ti 2.78
9 Ir 0.0000 0.0000 0.5000  8 Ti 2.70
10 Ti 0.5000 0.5000 0.5000  8 Ti 2.85, 6 Ta 3.16
11 Ti 0.7605 0.2395 0.7605  3 Ir 2.70, 3 Ta 2.78, 1 Ti 2.85
12 Ti 0.2395 0.2395 0.7605  3 Ir 2.70, 3 Ta 2.78, 1 Ti 2.85
13 Ir 0.5000 0.0000 0.0000  8 Ti 2.70
14 Ir 0.0000 0.5000 0.0000  8 Ti 2.70
15 Ti 0.2395 0.7605 0.2395  3 Ir 2.70, 3 Ta 2.78, 1 Ti 2.85